(1)
Below is a geometry-optimized Mo2PdPb structure, with properties calculated at the PBE level.

CIF file:
```
data_Mo2PdPb
_chemical_formula_sum 'Mo8 Pd4 Pb4'
_cell_length_a 7.541
_cell_length_b 7.541
_cell_length_c 5.393
_cell_angle_alpha 90.00
_cell_angle_beta 90.00
_cell_angle_gamma 90.00
_symmetry_space_group_name_H-M 'I -4 2 d'
_symmetry_Int_Tables_number 122
_symmetry_space_group_name_Hall 'I -4 2bw'
loop_
_atom_site_label
_atom_site_type_symbol
_atom_site_fract_x
_atom_site_fract_y
_atom_site_fract_z
Mo1 Mo 0.229 0.250 0.125
Pd1 Pd 0.000 0.000 0.000
Pb1 Pb 0.000 0.000 0.500
```

Output
Mass density   10948 kg/m³
E_form   3.5 eV per formula unit

(2)
Below is a geometry-optimized ReMo2PdPb structure, with properties calculated at the PBE level.

CIF file:
```
data_ReMo2PdPb
_chemical_formula_sum 'Re1 Mo2 Pd1 Pb1'
_cell_length_a 4.957
_cell_length_b 4.957
_cell_length_c 4.908
_cell_angle_alpha 90.00
_cell_angle_beta 90.00
_cell_angle_gamma 90.00
_symmetry_space_group_name_H-M 'P 4/m m m'
_symmetry_Int_Tables_number 123
_symmetry_space_group_name_Hall '-P 4 2'
loop_
_atom_site_label
_atom_site_type_symbol
_atom_site_fract_x
_atom_site_fract_y
_atom_site_fract_z
Re1 Re 0.000 0.000 0.000
Mo1 Mo 0.000 0.500 0.500
Pd1 Pd 0.500 0.500 0.000
Pb1 Pb 0.000 0.000 0.500
```

Output
Mass density   9525 kg/m³
E_form   14.5 eV per formula unit

(3)
Below is a geometry-optimized SnMoPdPb2 structure, with properties calculated at the PBE level.

CIF file:
```
data_SnMoPdPb2
_chemical_formula_sum 'Sn1 Mo1 Pd1 Pb2'
_cell_length_a 5.354
_cell_length_b 5.354
_cell_length_c 4.968
_cell_angle_alpha 90.00
_cell_angle_beta 90.00
_cell_angle_gamma 90.00
_symmetry_space_group_name_H-M 'P 4/m m m'
_symmetry_Int_Tables_number 123
_symmetry_space_group_name_Hall '-P 4 2'
loop_
_atom_site_label
_atom_site_type_symbol
_atom_site_fract_x
_atom_site_fract_y
_atom_site_fract_z
Sn1 Sn 0.000 0.000 0.000
Mo1 Mo 0.500 0.500 0.500
Pd1 Pd 0.500 0.500 0.000
Pb1 Pb 0.000 0.500 0.500
```

Output
Mass density   8574 kg/m³
E_form   3.6 eV per formula unit

(4)
Below is a geometry-optimized MoPdPbW2 structure, with properties calculated at the PBE level.

CIF file:
```
data_MoPdPbW2
_chemical_formula_sum 'Mo1 Pd1 Pb1 W2'
_cell_length_a 4.725
_cell_length_b 4.725
_cell_length_c 5.261
_cell_angle_alpha 90.00
_cell_angle_beta 90.00
_cell_angle_gamma 90.00
_symmetry_space_group_name_H-M 'P 4/m m m'
_symmetry_Int_Tables_number 123
_symmetry_space_group_name_Hall '-P 4 2'
loop_
_atom_site_label
_atom_site_type_symbol
_atom_site_fract_x
_atom_site_fract_y
_atom_site_fract_z
Mo1 Mo 0.000 0.000 0.000
Pd1 Pd 0.500 0.500 0.500
Pb1 Pb 0.000 0.000 0.500
W1 W 0.000 0.500 0.000
```

Output
Mass density   10987 kg/m³
E_form   9.4 eV per formula unit

(5)
Below is a geometry-optimized Mo2PtPb structure, with properties calculated at the PBE level.

CIF file:
```
data_Mo2PtPb
_chemical_formula_sum 'Mo4 Pt2 Pb2'
_cell_length_a 3.683
_cell_length_b 4.540
_cell_length_c 8.536
_cell_angle_alpha 90.00
_cell_angle_beta 90.00
_cell_angle_gamma 90.00
_symmetry_space_group_name_H-M 'I m m 2'
_symmetry_Int_Tables_number 44
loop_
_symmetry_equiv_pos_as_xyz
'x,y,z'
'-x,-y,z'
'-x,y,z'
'x,-y,z'
'x+1/2,y+1/2,z+1/2'
'-x+1/2,-y+1/2,z+1/2'
'-x+1/2,y+1/2,z+1/2'
'x+1/2,-y+1/2,z+1/2'
loop_
_atom_site_label
_atom_site_type_symbol
_atom_site_fract_x
_atom_site_fract_y
_atom_site_fract_z
Mo1 Mo 0.000 0.000 0.000
Mo2 Mo 0.000 0.500 0.290
Pt1 Pt 0.000 0.500 0.772
Pb1 Pb 0.000 0.000 0.524
```

Output
Mass density   13825 kg/m³
E_form   1.3 eV per formula unit

(6)
Below is a geometry-optimized MoPtPb2 structure, with properties calculated at the PBE level.

CIF file:
```
data_MoPtPb2
_chemical_formula_sum 'Mo1 Pt1 Pb2'
_cell_length_a 3.154
_cell_length_b 5.218
_cell_length_c 5.040
_cell_angle_alpha 90.00
_cell_angle_beta 90.08
_cell_angle_gamma 90.00
_symmetry_space_group_name_H-M 'P 1 m 1'
_symmetry_Int_Tables_number 6
loop_
_symmetry_equiv_pos_as_xyz
'x,y,z'
'x,-y,z'
loop_
_atom_site_label
_atom_site_type_symbol
_atom_site_fract_x
_atom_site_fract_y
_atom_site_fract_z
Mo1 Mo 0.000 0.000 0.000
Pt1 Pt 0.499 0.500 0.798
Pb1 Pb 0.000 0.500 0.265
Pb2 Pb 0.500 0.000 0.519
```

Output
Mass density   14122 kg/m³
E_form   1.8 eV per formula unit
Polymorph energy (0 for the lowest one)   1.18 eV/f.u.

(7)
Below is a geometry-optimized Mo2PtPb structure, with properties calculated at the PBE level.

CIF file:
```
data_Mo2PtPb
_chemical_formula_sum 'Mo4 Pt2 Pb2'
_cell_length_a 9.488
_cell_length_b 3.234
_cell_length_c 5.041
_cell_angle_alpha 90.00
_cell_angle_beta 102.54
_cell_angle_gamma 90.00
_symmetry_space_group_name_H-M 'C 1 2/m 1'
_symmetry_Int_Tables_number 12
loop_
_symmetry_equiv_pos_as_xyz
'x,y,z'
'-x,-y,-z'
'-x,y,-z'
'x,-y,z'
'x+1/2,y+1/2,z'
'-x+1/2,-y+1/2,-z'
'-x+1/2,y+1/2,-z'
'x+1/2,-y+1/2,z'
loop_
_atom_site_label
_atom_site_type_symbol
_atom_site_fract_x
_atom_site_fract_y
_atom_site_fract_z
Mo1 Mo 0.241 0.000 0.183
Pt1 Pt 0.000 0.500 0.000
Pb1 Pb 0.000 0.000 0.500
```

Output
Mass density   13069 kg/m³
E_form   1.1 eV per formula unit

(8)
Below is a geometry-optimized MoPtPb2 structure, with properties calculated at the PBE level.

CIF file:
```
data_MoPtPb2
_chemical_formula_sum 'Mo2 Pt2 Pb4'
_cell_length_a 9.327
_cell_length_b 3.126
_cell_length_c 5.811
_cell_angle_alpha 90.00
_cell_angle_beta 101.84
_cell_angle_gamma 90.00
_symmetry_space_group_name_H-M 'C 1 2/m 1'
_symmetry_Int_Tables_number 12
loop_
_symmetry_equiv_pos_as_xyz
'x,y,z'
'-x,-y,-z'
'-x,y,-z'
'x,-y,z'
'x+1/2,y+1/2,z'
'-x+1/2,-y+1/2,-z'
'-x+1/2,y+1/2,-z'
'x+1/2,-y+1/2,z'
loop_
_atom_site_label
_atom_site_type_symbol
_atom_site_fract_x
_atom_site_fract_y
_atom_site_fract_z
Mo1 Mo 0.000 0.000 0.000
Pt1 Pt 0.000 0.500 0.500
Pb1 Pb 0.248 0.000 0.752
```

Output
Mass density   14128 kg/m³
E_form   2.2 eV per formula unit
Polymorph energy (0 for the lowest one)   1.57 eV/f.u.

(9)
Below is a geometry-optimized Mo2PtPb structure, with properties calculated at the PBE level.

CIF file:
```
data_Mo2PtPb
_chemical_formula_sum 'Mo6 Pt3 Pb3'
_cell_length_a 2.9619
_cell_length_b 2.9619
_cell_length_c 28.4140
_cell_angle_alpha 90.00
_cell_angle_beta 90.00
_cell_angle_gamma 120.00
_symmetry_space_group_name_H-M 'R -3 m'
_symmetry_Int_Tables_number 166
_symmetry_space_group_name_Hall '-R 3 2"'
loop_
_atom_site_label
_atom_site_type_symbol
_atom_site_fract_x
_atom_site_fract_y
_atom_site_fract_z
Mo1 Mo 0.0000 0.0000 0.2438
Pt1 Pt 0.0000 0.0000 0.5000
Pb1 Pb 0.0000 0.0000 0.0000
```

Output
Mass density   13712 kg/m³
E_form   2.1 eV per formula unit

(10)
Below is a geometry-optimized Mo2PtPb structure, with properties calculated at the PBE level.

CIF file:
```
data_Mo2PtPb
_chemical_formula_sum 'Mo6 Pt3 Pb3'
_cell_length_a 3.1269
_cell_length_b 3.1269
_cell_length_c 27.1554
_cell_angle_alpha 90.00
_cell_angle_beta 90.00
_cell_angle_gamma 120.00
_symmetry_space_group_name_H-M 'R 3 m'
_symmetry_Int_Tables_number 160
_symmetry_space_group_name_Hall 'R 3 -2"'
loop_
_atom_site_label
_atom_site_type_symbol
_atom_site_fract_x
_atom_site_fract_y
_atom_site_fract_z
Mo1 Mo 0.0000 0.0000 0.0000
Mo2 Mo 0.0000 0.0000 0.2678
Pt1 Pt 0.0000 0.0000 0.7438
Pb1 Pb 0.0000 0.0000 0.5028
```

Output
Mass density   12873 kg/m³
E_form   1.4 eV per formula unit

(11)
Below is a geometry-optimized Mo2PtPb structure, with properties calculated at the PBE level.

CIF file:
```
data_Mo2PtPb
_chemical_formula_sum 'Mo8 Pt4 Pb4'
_cell_length_a 6.327
_cell_length_b 6.327
_cell_length_c 10.450
_cell_angle_alpha 90.00
_cell_angle_beta 90.00
_cell_angle_gamma 90.00
_symmetry_space_group_name_H-M 'I -4 2 d'
_symmetry_Int_Tables_number 122
_symmetry_space_group_name_Hall 'I -4 2bw'
loop_
_atom_site_label
_atom_site_type_symbol
_atom_site_fract_x
_atom_site_fract_y
_atom_site_fract_z
Mo1 Mo 0.209 0.250 0.125
Pt1 Pt 0.000 0.000 0.000
Pb1 Pb 0.000 0.000 0.500
```

Output
Mass density   9434 kg/m³
E_form   5.5 eV per formula unit

(12)
Below is a geometry-optimized MoPtPb2 structure, with properties calculated at the PBE level.

CIF file:
```
data_MoPtPb2
_chemical_formula_sum 'Mo4 Pt4 Pb8'
_cell_length_a 7.038
_cell_length_b 7.038
_cell_length_c 7.038
_cell_angle_alpha 90.00
_cell_angle_beta 90.00
_cell_angle_gamma 90.00
_symmetry_space_group_name_H-M 'F -4 3 m'
_symmetry_Int_Tables_number 216
_symmetry_space_group_name_Hall 'F -4 2 3'
loop_
_atom_site_label
_atom_site_type_symbol
_atom_site_fract_x
_atom_site_fract_y
_atom_site_fract_z
Mo1 Mo 0.000 0.000 0.000
Pt1 Pt 0.250 0.250 0.250
Pb1 Pb 0.000 0.000 0.500
Pb2 Pb 0.250 0.250 0.750
```

Output
Mass density   13442 kg/m³
E_form   2.6 eV per formula unit
Polymorph energy (0 for the lowest one)   2.01 eV/f.u.

(13)
Below is a geometry-optimized Mo2PtPb structure, with properties calculated at the PBE level.

CIF file:
```
data_Mo2PtPb
_chemical_formula_sum 'Mo4 Pt2 Pb2'
_cell_length_a 4.000
_cell_length_b 4.000
_cell_length_c 8.709
_cell_angle_alpha 90.00
_cell_angle_beta 90.00
_cell_angle_gamma 90.00
_symmetry_space_group_name_H-M 'I 4/m m m'
_symmetry_Int_Tables_number 139
_symmetry_space_group_name_Hall '-I 4 2'
loop_
_atom_site_label
_atom_site_type_symbol
_atom_site_fract_x
_atom_site_fract_y
_atom_site_fract_z
Mo1 Mo 0.000 0.500 0.250
Pt1 Pt 0.000 0.000 0.000
Pb1 Pb 0.000 0.000 0.500
```

Output
Mass density   14164 kg/m³
E_form   1.3 eV per formula unit

(14)
Below is a geometry-optimized Mo2PtPb structure, with properties calculated at the PBE level.

CIF file:
```
data_Mo2PtPb
_chemical_formula_sum 'Mo2 Pt1 Pb1'
_cell_length_a 2.967
_cell_length_b 4.212
_cell_length_c 5.860
_cell_angle_alpha 90.00
_cell_angle_beta 90.12
_cell_angle_gamma 90.00
_symmetry_space_group_name_H-M 'P 1 2/m 1'
_symmetry_Int_Tables_number 10
loop_
_symmetry_equiv_pos_as_xyz
'x,y,z'
'-x,-y,-z'
'-x,y,-z'
'x,-y,z'
loop_
_atom_site_label
_atom_site_type_symbol
_atom_site_fract_x
_atom_site_fract_y
_atom_site_fract_z
Mo1 Mo 0.001 0.000 0.204
Pt1 Pt 0.500 0.500 0.000
Pb1 Pb 0.500 0.500 0.500
```

Output
Mass density   13470 kg/m³
E_form   1.4 eV per formula unit

(15)
Below is a geometry-optimized MoPtPb2 structure, with properties calculated at the PBE level.

CIF file:
```
data_MoPtPb2
_chemical_formula_sum 'Mo4 Pt4 Pb8'
_cell_length_a 6.883
_cell_length_b 6.883
_cell_length_c 6.883
_cell_angle_alpha 90.00
_cell_angle_beta 90.00
_cell_angle_gamma 90.00
_symmetry_space_group_name_H-M 'F m -3 m'
_symmetry_Int_Tables_number 225
_symmetry_space_group_name_Hall '-F 4 2 3'
loop_
_atom_site_label
_atom_site_type_symbol
_atom_site_fract_x
_atom_site_fract_y
_atom_site_fract_z
Mo1 Mo 0.000 0.000 0.000
Pt1 Pt 0.000 0.000 0.500
Pb1 Pb 0.250 0.250 0.250
```

Output
Mass density   14367 kg/m³
E_form   2.2 eV per formula unit
Polymorph energy (0 for the lowest one)   1.56 eV/f.u.